Record 1
First-principles (PBE) data for an optimized crystal structure of Na3ReSe, as listed in Alexandria via LeMat-Bulk.

Computed properties:
For the size of the total moment, the calculation gives 4.000 μB per formula unit. For the formation energy without anion corrections, the calculation gives 1232 meV per atom.

abc: 5.6551 5.6551 5.6551
angles: 90.00 90.00 90.00
Space group Pm-3m (No. 221)
One atom of each set of equivalent atoms:
Na (0.0000, 0.0000, 0.5000) [3 per cell]
Re (0.0000, 0.0000, 0.0000) [1 per cell]
Se (0.5000, 0.5000, 0.5000) [1 per cell]

***

Record 2
First-principles (PBE) data for an optimized crystal structure of DyPuSi, as listed in Alexandria via LeMat-Bulk.

Computed properties:
For the size of the total moment, the calculation gives 5.884 μB per formula unit. For the formation energy without anion corrections, the calculation gives -15 meV per atom.

abc: 3.3937 4.8271 8.5875
angles: 90.00 90.00 90.00
Space group Pmmm (No. 47)
One atom of each set of equivalent atoms:
Dy (0.0000, 0.0000, 0.0000) [1 per cell]
Dy (0.0000, 0.5000, 0.5000) [1 per cell]
Pu (0.5000, 0.0000, 0.3344) [2 per cell]
Si (0.5000, 0.5000, 0.1479) [2 per cell]